1.
DFT (PBE) results for a relaxed structure of Re3RuF.

Cell and atoms, written as POSCAR:
```
Re3RuF
1.0
4.1547 0.0000 0.0000
0.0000 4.1547 0.0000
0.0000 0.0000 4.1547
Re Ru F
3 1 1
direct
0.0000 0.0000 0.5000
0.0000 0.5000 0.0000
0.5000 0.0000 0.0000
0.5000 0.5000 0.5000
0.0000 0.0000 0.0000
```

Calculated values
energy relative to the elements, uncorrected = 6.58 eV per formula unit
relative energy among the computed polymorphs = 0.000 eV per atom
symmetry = Pm-3m

***

2.
DFT (PBE) results for a relaxed structure of Ac3Tl3InTe8.

Cell and atoms, written as POSCAR:
```
Ac3Tl3InTe8
1.0
4.7276 2.7295 8.0475
-4.7276 2.7295 8.0475
0.0000 -5.4589 8.0475
Ac Tl In Te
3 3 1 8
direct
0.0000 0.5000 0.5000
0.5000 0.0000 0.5000
0.5000 0.5000 0.0000
0.0000 0.0000 0.5000
0.0000 0.5000 0.0000
0.5000 0.0000 0.0000
0.0000 0.0000 0.0000
0.2263 0.2263 0.7661
0.2263 0.7661 0.2263
0.2339 0.7737 0.7737
0.2555 0.2555 0.2555
0.7445 0.7445 0.7445
0.7661 0.2263 0.2263
0.7737 0.2339 0.7737
0.7737 0.7737 0.2339
```

Calculated values
energy relative to the elements, uncorrected = -13.10 eV per formula unit
symmetry = R-3m

***

3.
DFT (PBE) results for a relaxed structure of AcP4Au.

Cell and atoms, written as POSCAR:
```
AcP4Au
1.0
0.0000 3.9313 3.9313
3.9313 0.0000 3.9313
3.9313 3.9313 0.0000
Ac P Au
1 4 1
direct
0.0000 0.0000 0.0000
0.3945 0.3945 0.3945
0.3945 0.3945 0.8164
0.3945 0.8164 0.3945
0.8164 0.3945 0.3945
0.7500 0.7500 0.7500
```

Calculated values
E_form = -160 meV per atom
symmetry = F-43m

***

4.
DFT (PBE) results for a relaxed structure of KTl3Cd8.

Cell and atoms, written as POSCAR:
```
KTl3Cd8
1.0
3.0397 1.7550 10.1338
-3.0397 1.7550 10.1338
0.0000 -3.5100 10.1338
K Tl Cd
1 3 8
direct
0.0000 0.0000 0.0000
0.3729 0.3729 0.3729
0.4981 0.4981 0.4981
0.8720 0.8720 0.8720
0.1870 0.1870 0.1870
0.4361 0.4361 0.9338
0.4361 0.9338 0.4361
0.4409 0.9374 0.9374
0.6865 0.6865 0.6865
0.9338 0.4361 0.4361
0.9374 0.4409 0.9374
0.9374 0.9374 0.4409
```

Calculated values
E_form = -20 meV per atom
symmetry = R3m

***

5.
DFT (PBE) results for a relaxed structure of NdInCuHg.

Cell and atoms, written as POSCAR:
```
NdInCuHg
1.0
0.0000 3.5685 3.5685
3.5685 0.0000 3.5685
3.5685 3.5685 0.0000
Nd In Cu Hg
1 1 1 1
direct
0.0000 0.0000 0.0000
0.5000 0.5000 0.5000
0.7500 0.7500 0.7500
0.2500 0.2500 0.2500
```

Calculated values
E_form = -294 meV per atom
symmetry = F-43m

***

6.
DFT (PBE) results for a relaxed structure of AlMoAu2.

Cell and atoms, written as POSCAR:
```
AlMoAu2
1.0
2.8347 0.0000 0.0000
0.0000 4.0495 0.0000
0.0000 0.0000 5.7861
Al Mo Au
1 1 2
direct
0.0000 0.0000 0.0000
0.0000 0.0000 0.5000
0.5000 0.5000 0.2478
0.5000 0.5000 0.7522
```

Calculated values
E_form = 84 meV per atom
symmetry = Pmmm

***

7.
DFT (PBE) results for a relaxed structure of Na2Tl2OsO6.

Cell and atoms, written as POSCAR:
```
Na2Tl2OsO6
1.0
2.9815 -4.9844 0.0000
2.9815 4.9844 0.0000
-1.7446 0.0000 6.0625
Na Tl Os O
2 2 1 6
direct
0.1592 0.8408 0.0000
0.8408 0.1592 0.0000
0.3285 0.6715 0.5000
0.6715 0.3285 0.5000
0.5000 0.5000 0.0000
0.1800 0.4481 0.8281
0.3035 0.3035 0.1976
0.4481 0.1800 0.8281
0.5519 0.8200 0.1719
0.6965 0.6965 0.8024
0.8200 0.5519 0.1719
```

Calculated values
energy relative to the elements, uncorrected = -12.22 eV per formula unit
symmetry = C2/m

***

8.
DFT (PBE) results for a relaxed structure of Tm2Al4Cu3Ni.

Cell and atoms, written as POSCAR:
```
Tm2Al4Cu3Ni
1.0
4.0768 0.0000 0.0000
0.0000 4.0768 0.0000
0.0000 0.0000 10.1400
Tm Al Cu Ni
2 4 3 1
direct
0.0000 0.5000 0.2433
0.5000 0.0000 0.7567
0.0000 0.0000 0.5000
0.0000 0.5000 0.8761
0.5000 0.0000 0.1239
0.5000 0.5000 0.5000
0.0000 0.0000 0.0000
0.0000 0.5000 0.6400
0.5000 0.0000 0.3600
0.5000 0.5000 0.0000
```

Calculated values
E_form = -435 meV per atom
symmetry = P-4m2

***

9.
DFT (PBE) results for a relaxed structure of KI2Br6.

Cell and atoms, written as POSCAR:
```
KI2Br6
1.0
6.8655 -5.3042 0.0000
6.8655 5.3042 0.0000
-5.8457 0.0000 10.0707
K I Br
2 4 12
direct
0.0942 0.9058 0.7500
0.9058 0.0942 0.2500
0.2713 0.4605 0.1912
0.4605 0.2713 0.6912
0.5395 0.7287 0.3088
0.7287 0.5395 0.8088
0.0064 0.2555 0.0419
0.0761 0.7058 0.3267
0.2340 0.4656 0.5581
0.2555 0.0064 0.5419
0.2942 0.9239 0.1733
0.4656 0.2340 0.0581
0.5344 0.7660 0.9419
0.7058 0.0761 0.8267
0.7445 0.9936 0.4581
0.7660 0.5344 0.4419
0.9239 0.2942 0.6733
0.9936 0.7445 0.9581
```

Calculated values
energy relative to the elements, uncorrected = -3.15 eV per formula unit
relative energy among the computed polymorphs = 0.040 eV per atom
symmetry = C2/c

***

10.
DFT (PBE) results for a relaxed structure of Ga2ReRh.

Cell and atoms, written as POSCAR:
```
Ga2ReRh
1.0
-3.4003 3.4003 2.7814
3.4003 -3.4003 2.7814
3.4003 3.4003 -2.7814
Ga Re Rh
4 2 2
direct
0.1136 0.6250 0.9886
0.3750 0.3636 0.4886
0.6364 0.1250 0.0114
0.8750 0.8864 0.5114
0.2500 0.7500 0.5000
0.5000 0.5000 0.0000
0.0000 0.0000 0.0000
0.7500 0.2500 0.5000
```

Calculated values
E_form = 376 meV per atom
symmetry = I-42d

***

- Which formula does entry 8 have?
  Tm2Al4Cu3Ni